Compound: ErVO4
Source: Alexandria via LeMat-Bulk
Functional: PBE+U
Structure: optimized geometry

a b c (Å): 5.964 5.964 5.964
angles (deg): 106.30 106.30 116.03
Sites, in units of the cell vectors:
1 O 0.323 0.137 0.814
2 O 0.491 0.677 0.814
3 O 0.323 0.509 0.186
4 O 0.863 0.677 0.186
5 O 0.927 0.241 0.314
6 O 0.387 0.073 0.314
7 O 0.759 0.073 0.686
8 O 0.927 0.613 0.686
9 Er 0.000 0.000 0.000
10 Er 0.250 0.750 0.500
11 V 0.750 0.250 0.500
12 V 0.500 0.500 0.000

Summary:
Fermi-level density of states   0.00 states/eV/cell
Magnetization   0.00 μB/cell
E   -0.592 Ry per atom